Entry from Alexandria via LeMat-Bulk: Li3TlCu after structural relaxation (GGA-PBEsol).

Computed properties:
Space-group type: No. 221

The structure in POSCAR format:
```
Li3TlCu
1.0
4.5999 0.0000 0.0000
0.0000 4.5999 0.0000
0.0000 0.0000 4.5999
Cu Tl Li
1 1 3
Cartesian
0.0000 0.0000 0.0000
2.2999 2.2999 2.2999
0.0000 0.0000 2.2999
0.0000 2.2999 0.0000
2.2999 0.0000 0.0000
```

***

Entry from Alexandria via LeMat-Bulk: LiTlCu3 after structural relaxation (GGA-PBEsol).

Computed properties:
Space-group type: No. 221

The structure in POSCAR format:
```
LiTlCu3
1.0
-3.8821 1.0558 -1.1881
-1.5031 -1.4196 3.6500
0.5166 3.8036 1.6921
Cu Li Tl
3 1 1
Cartesian
0.2583 1.9018 0.8461
-1.9411 0.5279 -0.5940
-0.7516 -0.7098 1.8250
0.0000 0.0000 0.0000
-2.4343 1.7199 2.0770
```

***

Entry from Alexandria via LeMat-Bulk: Li2TlCu2 after structural relaxation (GGA-PBEsol).

Computed properties:
Space-group type: No. 139

The structure in POSCAR format:
```
Li2TlCu2
1.0
3.3902 0.0000 0.0000
0.0000 3.3902 0.0000
-1.6951 -1.6951 6.8960
Li Cu Tl
2 2 1
Cartesian
0.0000 0.0000 5.3559
1.6951 1.6951 1.5400
0.0000 1.6951 3.4480
1.6951 0.0000 3.4480
0.0000 0.0000 0.0000
```

***

Entry from Alexandria via LeMat-Bulk: LiCu2W after structural relaxation (GGA-PBEsol).

Computed properties:
Polymorph energy (0 for the lowest one), eV per atom: 0.2053
Space-group type: No. 216

The structure in POSCAR format:
```
LiCu2W
1.0
-3.1915 0.8954 2.4107
-0.8287 -2.3447 3.2580
0.6311 1.4492 3.7815
Li Cu W
1 2 1
Cartesian
-1.6945 0.0000 4.7251
-2.5418 -0.0001 7.0877
0.0000 0.0000 0.0000
-0.8473 0.0000 2.3626
```

***

Entry from Alexandria via LeMat-Bulk: LiCu2W after structural relaxation (GGA-PBEsol).

Computed properties:
Polymorph energy (0 for the lowest one), eV per atom: 0.0807
Space-group type: No. 139

The structure in POSCAR format:
```
LiCu2W
1.0
-2.2975 -3.0466 -1.5994
2.8958 1.8511 -2.3342
3.4407 -2.0550 -1.0280
Cu Li W
2 1 1
Cartesian
2.3053 -2.9007 -3.1377
1.7337 -0.3499 -1.8240
0.5716 -2.5508 -1.3137
0.0000 0.0000 0.0000
```

***

Entry from Alexandria via LeMat-Bulk: LiCu2W after structural relaxation (GGA-PBEsol).

Computed properties:
Polymorph energy (0 for the lowest one), eV per atom: 0.0000
Space-group type: No. 25

The structure in POSCAR format:
```
LiCu2W
1.0
-1.9290 0.9734 -1.3047
-2.3808 -2.6416 1.5492
-1.0469 3.2912 4.0032
Cu W Li
2 1 1
Cartesian
-1.0419 3.2756 3.9842
-2.4343 0.0444 1.1908
-2.9647 1.7118 3.2189
-0.4861 1.5281 1.8587
```

***

Entry from Alexandria via LeMat-Bulk: LiY3Cu after structural relaxation (GGA-PBEsol).

Computed properties:
Space-group type: No. 221

The structure in POSCAR format:
```
LiY3Cu
1.0
-1.0446 -5.2024 0.4194
5.2121 -1.0175 0.3605
-0.2722 0.4814 5.2939
Y Li Cu
3 1 1
Cartesian
-0.1361 0.2407 2.6470
-0.5223 -2.6012 0.2097
2.6061 -0.5087 0.1802
1.9477 -2.8692 3.0369
0.0000 0.0000 0.0000
```

***

Entry from Alexandria via LeMat-Bulk: LiYCu after structural relaxation (GGA-PBEsol).

Computed properties:
Space-group type: No. 216

The structure in POSCAR format:
```
LiYCu
1.0
-3.4889 0.6768 -2.7964
-3.1678 -3.1919 -0.4768
-4.1470 0.6616 1.6776
Cu Y Li
1 1 1
Cartesian
-8.1028 -1.3901 -1.1967
-5.4018 -0.9267 -0.7978
0.0000 0.0000 0.0000
```

***

Entry from Alexandria via LeMat-Bulk: LiY2Cu after structural relaxation (GGA-PBEsol).

Computed properties:
Space-group type: No. 166

The structure in POSCAR format:
```
LiY2Cu
1.0
3.4729 0.0000 0.0000
1.7364 3.0076 0.0000
1.7364 1.0025 9.4942
Y Cu Li
2 1 1
Cartesian
1.7364 1.0025 2.7652
5.2093 3.0076 6.7290
3.4729 2.0051 4.7471
0.0000 0.0000 0.0000
```

***

Entry from Alexandria via LeMat-Bulk: LiYCu4 after structural relaxation (GGA-PBEsol).

Computed properties:
Space-group type: No. 216

The structure in POSCAR format:
```
LiYCu4
1.0
4.9717 0.0000 0.0000
2.4858 4.3056 0.0000
2.4858 1.4352 4.0594
Cu Y Li
4 1 1
Cartesian
4.9717 2.8704 3.5353
6.2010 2.1606 1.5278
4.9717 4.2899 1.5278
3.7423 2.1606 1.5278
0.0000 0.0000 0.0000
7.4575 4.3056 3.0445
```

***

Entry from Alexandria via LeMat-Bulk: LiY2Cu2 after structural relaxation (GGA-PBEsol).

Computed properties:
Space-group type: No. 127

The structure in POSCAR format:
```
LiY2Cu2
1.0
3.6355 0.0000 0.0000
0.0000 7.4994 0.0000
0.0000 0.0000 7.4994
Li Y Cu
2 4 4
Cartesian
0.0000 3.7497 3.7497
0.0000 0.0000 0.0000
1.8177 5.0296 6.2195
1.8177 1.2799 5.0296
1.8177 6.2195 2.4698
1.8177 2.4698 1.2799
0.0000 0.9087 2.8410
0.0000 6.5907 4.6585
0.0000 4.6585 0.9087
0.0000 2.8410 6.5907
```

***

Entry from Alexandria via LeMat-Bulk: LiY2Cu after structural relaxation (GGA-PBEsol).

Computed properties:
Space-group type: No. 123

The structure in POSCAR format:
```
LiY2Cu
1.0
-3.3912 0.8989 -0.1001
-0.7859 -3.1209 -1.4008
-0.9195 -2.7390 6.6184
Y Li Cu
2 1 1
Cartesian
-0.7146 -2.1263 5.1384
-3.5962 0.2862 1.3800
-2.5483 -2.4806 2.5588
-2.0886 -1.1110 -0.7504
```

***

Entry from Alexandria via LeMat-Bulk: LiZnCu after structural relaxation (GGA-PBEsol).

Computed properties:
Polymorph energy (0 for the lowest one), eV per atom: 0.0504
Space-group type: No. 107

The structure in POSCAR format:
```
LiZnCu
1.0
2.6248 0.0000 0.0000
0.0000 2.6248 0.0000
-1.3124 -1.3124 5.6354
Zn Cu Li
1 1 1
Cartesian
0.0000 0.0000 3.8388
1.3124 1.3124 5.6003
1.3124 1.3124 1.8318
```

***

Entry from Alexandria via LeMat-Bulk: LiZn2Cu2 after structural relaxation (GGA-PBEsol).

Computed properties:
Space-group type: No. 127

The structure in POSCAR format:
```
LiZn2Cu2
1.0
-1.5718 1.4752 1.5224
1.8245 -3.9118 5.6743
5.4286 4.4321 1.3100
Li Zn Cu
2 4 4
Cartesian
0.0000 0.0000 0.0000
3.6265 0.2601 3.4921
1.8724 -1.8871 3.7617
2.2372 1.1115 1.2327
5.0159 -0.5913 5.7516
5.3807 2.4073 3.2226
2.5529 -1.0443 5.9350
4.9587 1.8333 5.6304
3.1284 3.0397 2.5717
0.7226 0.1621 2.8763
```

***

Entry from Alexandria via LeMat-Bulk: Li2ZnCu after structural relaxation (GGA-PBEsol).

Computed properties:
Space-group type: No. 119

The structure in POSCAR format:
```
Li2ZnCu
1.0
-2.4282 0.4483 -3.1765
2.6718 -3.3577 0.0317
-3.2029 -0.1152 2.4322
Cu Li Zn
1 2 1
Cartesian
-1.6734 -1.6532 1.0458
0.0000 0.0000 0.0000
-1.2860 -1.3714 -1.7585
-2.8156 0.1666 -0.3722
```

***

Record order is preserved below.
Density of states at the Fermi level: 2.12; 1.55; 1.17; 3.88; 2.43; 2.25; 9.27; 1.93; 4.07; 4.19; 9.39; 2.75; 0.87; 2.60; 1.35 states/eV per cell
Record order is preserved below.
Energy of formation from the pure elements: 0.143; 0.625; 0.059; 0.606; 0.481; 0.401; 0.241; 0.126; 0.143; -0.186; -0.135; -0.053; -0.068; -0.109; -0.107 eV/atom
Record order is preserved below.
E_tot: -12.152; -14.475; -14.935; -22.019; -22.517; -22.840; -25.563; -12.746; -19.373; -27.241; -24.955; -20.159; -8.087; -14.342; -10.279 eV/f.u.